#one
PuUTcNi PBE-GGA optimized geometry; total moment = 6.41 μB per cell
1.0
0.0000 3.3445 3.3445
3.3445 0.0000 3.3445
3.3445 3.3445 0.0000
Pu U Tc Ni
1 1 1 1
direct
0.0000 0.0000 0.0000
0.5000 0.5000 0.5000
0.2500 0.2500 0.2500
0.7500 0.7500 0.7500

=====

#two
PuUTcNi PBE-GGA optimized geometry; total moment = 3.87 μB per cell
1.0
0.0000 3.2017 3.2017
3.2017 0.0000 3.2017
3.2017 3.2017 0.0000
Pu U Tc Ni
1 1 1 1
direct
0.0000 0.0000 0.0000
0.2500 0.2500 0.2500
0.5000 0.5000 0.5000
0.7500 0.7500 0.7500

=====

Stability, highest: #two

=====

#one
Pu2ThNi PBE-GGA optimized geometry; total moment = 10.39 μB per cell
1.0
3.5264 0.0000 0.0000
0.0000 3.5264 0.0000
0.0000 0.0000 7.4334
Pu Th Ni
2 1 1
direct
0.0000 0.0000 0.2010
0.0000 0.0000 0.7990
0.5000 0.5000 0.5000
0.5000 0.5000 0.0000

=====

#two
Pu2ThNi PBE-GGA optimized geometry; total moment = 12.43 μB per cell
1.0
0.0000 3.5675 3.5675
3.5675 0.0000 3.5675
3.5675 3.5675 0.0000
Pu Th Ni
2 1 1
direct
0.2500 0.2500 0.2500
0.7500 0.7500 0.7500
0.0000 0.0000 0.0000
0.5000 0.5000 0.5000

=====

Stability, highest: #one

=====

#one
PuTh2Ni PBE-GGA optimized geometry; total moment = 5.42 μB per cell
1.0
3.5500 0.0000 0.0000
0.0000 3.5500 0.0000
0.0000 0.0000 7.9415
Pu Th Ni
1 2 1
direct
0.0000 0.0000 0.0000
0.5000 0.5000 0.2852
0.5000 0.5000 0.7148
0.0000 0.0000 0.5000

=====

#two
PuTh2Ni PBE-GGA optimized geometry; total moment = 6.09 μB per cell
1.0
1.7951 1.0364 10.0684
-1.7951 1.0364 10.0684
0.0000 -2.0729 10.0684
Pu Th Ni
1 2 1
direct
0.0000 0.0000 0.0000
0.1051 0.1051 0.1051
0.8949 0.8949 0.8949
0.5000 0.5000 0.5000

=====

Stability, highest: #one